# TlNiSb2Pb GGA-PBE optimized geometry
data_TlNiSb2Pb
_cell_length_a 5.8997
_cell_length_b 5.8997
_cell_length_c 4.8624
_cell_angle_alpha 90.00
_cell_angle_beta 90.00
_cell_angle_gamma 90.00
_space_group_name_H-M_alt 'P 4/m m m'
_space_group_IT_number 123
_space_group_name_Hall '-P 4 2'
loop_
_atom_site_label
_atom_site_type_symbol
_atom_site_fract_x
_atom_site_fract_y
_atom_site_fract_z
Tl1 Tl 0.0000 0.0000 0.0000
Ni1 Ni 0.5000 0.5000 0.0000
Sb1 Sb 0.0000 0.5000 0.5000
Pb1 Pb 0.5000 0.5000 0.5000
# - Energy: -3.24 eV per atom
# - Crystal system: tetragonal
# - Formation energy from raw total energies: 0.78 eV/atom
# - Magnetization: 0.00 μB per cell